Record 1
{"formula": "Ta2Ti2Nb7", "functional": "GGA-PBE", "state": "optimized geometry", "lattice": [[5.228, 0.198, -0.118], [-1.759, 4.928, -0.118], [-0.150, -0.221, 7.876]], "species": ["Nb", "Nb", "Ti", "Nb", "Nb", "Ta", "Nb", "Ta", "Ti", "Nb", "Nb"], "frac_coords": [[0.849, 0.441, 0.851], [0.151, 0.559, 0.149], [0.713, 0.287, 0.500], [0.309, 0.309, 0.735], [0.691, 0.691, 0.265], [0.854, 0.854, 0.639], [0.559, 0.151, 0.149], [0.146, 0.146, 0.361], [0.287, 0.713, 0.500], [0.441, 0.849, 0.851], [0.000, 0.000, 0.000]], "formation_energy_mev_per_atom": 240, "magmom_total_mub_per_fu": 0.0, "total_energy_ev_per_atom": -9.7583, "sg": "C2/m"}

Record 2
{"formula": "AcCoRh", "functional": "GGA-PBE", "state": "optimized geometry", "lattice": [[-1.912, -3.778, 1.155], [1.994, -1.964, -3.122], [1.777, 0.258, 3.788]], "species": ["Ac", "Rh", "Co"], "frac_coords": [[0.667, 0.333, 0.667], [0.167, 0.000, 0.000], [0.167, 0.667, 0.333]], "formation_energy_mev_per_atom": -277, "magmom_total_mub_per_fu": 1.2, "total_energy_ev_per_atom": -6.4658, "relative_energy_kj_per_mol_fu": 1, "sg": "P-6m2"}

Record 3
{"formula": "Ta2Mn2Ag", "functional": "GGA-PBE", "state": "optimized geometry", "lattice": [[-4.338, 2.721, -4.927], [-5.266, -4.157, 2.340], [-0.860, 2.199, 1.971]], "species": ["Ag", "Mn", "Mn", "Mn", "Ag", "Ta", "Mn", "Ta", "Ta", "Ta"], "frac_coords": [[0.000, 0.000, 0.000], [0.133, 0.367, 0.000], [0.367, 0.867, 0.000], [0.633, 0.133, 0.000], [0.500, 0.500, 0.000], [0.661, 0.839, 0.500], [0.867, 0.633, 0.000], [0.161, 0.661, 0.500], [0.339, 0.161, 0.500], [0.839, 0.339, 0.500]], "formation_energy_mev_per_atom": 221, "magmom_total_mub_per_fu": 1.9, "total_energy_ev_per_atom": -8.7581, "sg": "P4/mbm"}

Record 4
{"formula": "Rb3ThSc2Te6", "functional": "GGA-PBE", "state": "optimized geometry", "lattice": [[-4.441, 3.866, 4.869], [-2.443, -6.594, -2.988], [5.795, -3.363, 5.951]], "species": ["Rb", "Te", "Sc", "Te", "Te", "Th", "Sc", "Rb", "Te", "Te", "Rb", "Te"], "frac_coords": [[0.500, 0.500, 0.500], [0.414, 0.066, 0.197], [0.667, 0.333, 0.000], [0.586, 0.934, 0.803], [0.066, 0.414, 0.197], [0.000, 0.000, 0.000], [0.333, 0.667, 0.000], [0.838, 0.162, 0.500], [0.717, 0.717, 0.195], [0.283, 0.283, 0.805], [0.162, 0.838, 0.500], [0.934, 0.586, 0.803]], "magmom_total_mub_per_fu": 0.0, "total_energy_ev_per_atom": -4.6986, "raw_formation_energy_kj_per_mol_atoms": -117, "sg": "C2/m"}

Record 5
{"formula": "Hf6Se2N", "functional": "GGA-PBE", "state": "optimized geometry", "lattice": [[-3.438, -0.307, -4.772], [0.707, -6.438, -0.094], [-6.855, -0.828, 5.149]], "species": ["Hf", "Se", "Hf", "Hf", "Hf", "Hf", "Hf", "Se", "Hf", "N", "N", "Hf", "Hf", "Hf", "Hf", "Hf", "Se", "Se"], "frac_coords": [[0.856, 0.983, 0.258], [0.072, 0.619, 0.245], [0.644, 0.483, 0.242], [0.144, 0.017, 0.742], [0.356, 0.517, 0.758], [0.855, 0.695, 0.952], [0.355, 0.805, 0.452], [0.428, 0.119, 0.255], [0.145, 0.305, 0.048], [0.000, 0.000, 0.500], [0.500, 0.500, 0.000], [0.144, 0.306, 0.448], [0.645, 0.195, 0.548], [0.356, 0.806, 0.052], [0.856, 0.694, 0.552], [0.644, 0.194, 0.948], [0.928, 0.381, 0.755], [0.572, 0.881, 0.745]], "magmom_total_mub_per_fu": 0.0, "total_energy_ev_per_atom": -9.1484, "raw_formation_energy_kj_per_mol_atoms": -78, "sg": "P2_1/c"}

Record 6
{"formula": "ScNb2TcMo", "functional": "GGA-PBE", "state": "optimized geometry", "lattice": [[4.810, 0.000, 0.000], [0.000, 4.776, 0.000], [0.000, 0.000, 4.810]], "species": ["Mo", "Nb", "Nb", "Sc", "Tc"], "frac_coords": [[0.000, 0.500, 0.000], [0.500, 0.000, 0.000], [0.000, 0.000, 0.500], [0.500, 0.500, 0.500], [0.000, 0.000, 0.000]], "formation_energy_mev_per_atom": 929, "magmom_total_mub_per_fu": 0.0, "total_energy_ev_per_atom": -8.6041, "sg": "P4/mmm"}

Record 7
{"formula": "InS4", "functional": "GGA-PBE", "state": "optimized geometry", "lattice": [[5.132, 0.000, 0.000], [0.000, 5.132, 0.000], [0.000, 0.000, 5.132]], "species": ["S", "In", "S", "S", "S"], "frac_coords": [[0.000, 0.000, 0.000], [0.500, 0.500, 0.500], [0.500, 0.500, 0.000], [0.500, 0.000, 0.500], [0.000, 0.500, 0.500]], "magmom_total_mub_per_fu": 5.0, "total_energy_ev_per_atom": -2.8655, "raw_formation_energy_kj_per_mol_atoms": 95, "relative_energy_kj_per_mol_fu": 487, "sg": "Pm-3m"}

Record 8
{"formula": "CsMg6BO8", "functional": "GGA-PBE", "state": "optimized geometry", "lattice": [[5.086, 0.000, 0.000], [0.000, 5.086, 0.000], [0.000, 0.000, 7.895]], "species": ["Mg", "Mg", "O", "O", "O", "Mg", "O", "O", "B", "Mg", "Mg", "Mg", "O", "Cs", "O", "O"], "frac_coords": [[0.000, 0.500, 0.742], [0.500, 0.500, 0.500], [0.500, 0.500, 0.751], [0.500, 0.000, 0.000], [0.000, 0.500, 0.000], [0.500, 0.000, 0.742], [0.500, 0.500, 0.249], [0.000, 0.000, 0.665], [0.000, 0.000, 0.500], [0.500, 0.000, 0.258], [0.500, 0.500, 0.000], [0.000, 0.500, 0.258], [0.000, 0.000, 0.335], [0.000, 0.000, 0.000], [0.000, 0.500, 0.500], [0.500, 0.000, 0.500]], "magmom_total_mub_per_fu": 0.0, "total_energy_ev_per_atom": -5.4903, "raw_formation_energy_kj_per_mol_atoms": -187, "relative_energy_kj_per_mol_fu": 0, "sg": "P4/mmm"}